Below is an optimized crystal structure of La3Si8Ir3, with properties calculated at the PBE level.

abc: 4.156 10.149 11.962
angles: 90.00 90.00 90.00
Space group Immm (No. 71)
Unique sites:
La1 0.000 0.000 0.000 (multiplicity 2)
La2 0.000 0.000 0.303 (multiplicity 4)
Si1 0.000 0.290 0.122 (multiplicity 8)
Si2 0.000 0.354 0.337 (multiplicity 8)
Ir1 0.000 0.210 0.500 (multiplicity 4)
Ir2 0.000 0.500 0.000 (multiplicity 2)

Summary:
As for the density of states at the Fermi level: 10.152 states/eV/cell. For the calculated total energy, the calculation gives -6.626 eV/atom. The calculation puts the raw formation energy at -572 meV per atom.

***

Below is an optimized crystal structure of LaSi3Ir5, with properties calculated at the PBE level.

abc: 3.958 12.407 12.404
angles: 90.00 90.00 90.00
Space group Cmcm (No. 63)
Unique sites:
La1 0.000 0.160 0.250 (multiplicity 4)
Si1 0.000 0.119 0.750 (multiplicity 4)
Si2 0.000 0.386 0.540 (multiplicity 8)
Ir1 0.000 0.000 0.000 (multiplicity 4)
Ir2 0.000 0.204 0.573 (multiplicity 8)
Ir3 0.000 0.446 0.146 (multiplicity 8)

Summary:
As for the density of states at the Fermi level: 21.456 states/eV/cell. For the calculated total energy, the calculation gives -7.991 eV/atom. The calculation puts the raw formation energy at -714 meV per atom.

***

Below is an optimized crystal structure of LaSi2Ir, with properties calculated at the PBE level.

abc: 3.149 3.376 6.907
angles: 90.00 90.00 90.00
Space group Pmm2 (No. 25)
Unique sites:
La1 0.000 0.000 0.000 (multiplicity 1)
Si1 0.000 0.000 0.506 (multiplicity 1)
Si2 0.500 0.500 0.304 (multiplicity 1)
Ir1 0.500 0.500 0.658 (multiplicity 1)

Summary:
As for the density of states at the Fermi level: 3.024 states/eV/cell. For the calculated total energy, the calculation gives -6.550 eV/atom. The calculation puts the raw formation energy at -391 meV per atom.

***

Below is an optimized crystal structure of LaSi3Ir3, with properties calculated at the PBE level.

abc: 6.7468 6.7468 21.5654
angles: 90.00 90.00 120.00
Space group R-3 (No. 148, hexagonal axes)
Unique sites:
La1 0.0000 0.0000 0.1735 (multiplicity 6)
Si1 0.0272 0.6076 0.0549 (multiplicity 18)
Ir1 0.0108 0.7524 0.9468 (multiplicity 18)

Summary:
As for the density of states at the Fermi level: 16.572 states/eV/cell. For the calculated total energy, the calculation gives -7.449 eV/atom. As for the offset from the most stable computed form: 0.000 eV per atom. The calculation puts the raw formation energy at -623 meV per atom.

***

- Look up the raw formation energy of the first one.
  -572 meV per atom